No. 1
The following is a SCAN calculation of a crystal of CaHf3Mn relaxed with PBEsol, from the Alexandria database.

abc: 4.8844 4.8844 4.8844
angles: 90.00 90.00 90.00
With the nearest neighbours (Å) after each atom.
Atoms (fractional coordinates):
Ca 0.0000 0.0000 0.0000  6 Hf 2.44
Hf 0.0000 0.0000 0.5000  2 Ca 2.44
Hf 0.0000 0.5000 0.0000  2 Ca 2.44
Hf 0.5000 0.0000 0.0000  2 Ca 2.44
Mn 0.5000 0.5000 0.5000  12 Hf 3.45

Summary:
Calculated formation energy: 9.474 eV/f.u.
Symmetry: Pm-3m, No. 221


No. 2
The following is a SCAN calculation of a crystal of Ca2HfMnPd relaxed with PBEsol, from the Alexandria database.

abc: 5.0937 5.0937 4.6416
angles: 90.00 90.00 90.00
With the nearest neighbours (Å) after each atom.
Atoms (fractional coordinates):
Ca 0.0000 0.5000 0.0000  2 Mn 2.55
Ca 0.5000 0.0000 0.0000  2 Mn 2.55
Hf 0.0000 0.0000 0.5000  2 Mn 2.32
Mn 0.0000 0.0000 0.0000  2 Hf 2.32, 4 Ca 2.55
Pd 0.5000 0.5000 0.5000  8 Ca 3.45, 4 Hf 3.60

Summary:
Calculated formation energy: 2.865 eV/f.u.
Symmetry: P4/mmm, No. 123


No. 3
The following is a SCAN calculation of a crystal of CaHfN2 relaxed with PBEsol, from the Alexandria database.

abc: 3.2554 3.2554 16.6404
angles: 90.00 90.00 120.00
With the nearest neighbours (Å) after each atom.
Atoms (fractional coordinates):
Ca 0.0000 0.0000 0.0000  6 N 2.46
Ca 0.3333 0.6667 0.6667  6 N 2.46
Ca 0.6667 0.3333 0.3333  6 N 2.46
Hf 0.0000 0.0000 0.5000  6 N 2.22
Hf 0.3333 0.6667 0.1667  6 N 2.22
Hf 0.6667 0.3333 0.8333  6 N 2.22
N 0.0000 0.0000 0.2376  3 Hf 2.22, 3 Ca 2.46
N 0.0000 0.0000 0.7624  3 Hf 2.22, 3 Ca 2.46
N 0.3333 0.6667 0.4290  3 Hf 2.22, 3 Ca 2.46
N 0.3333 0.6667 0.9043  3 Hf 2.22, 3 Ca 2.46
N 0.6667 0.3333 0.0957  3 Hf 2.22, 3 Ca 2.46
N 0.6667 0.3333 0.5710  3 Hf 2.22, 3 Ca 2.46

Summary:
Uncorrected formation energy: -1.86 eV per atom
Symmetry: R-3m, No. 166


No. 4
The following is a SCAN calculation of a crystal of CaHf3N relaxed with PBEsol, from the Alexandria database.

abc: 4.8296 4.8296 4.8296
angles: 90.00 90.00 90.00
With the nearest neighbours (Å) after each atom.
Atoms (fractional coordinates):
Ca 0.0000 0.0000 0.0000  6 Hf 2.41
Hf 0.0000 0.0000 0.5000  2 Ca 2.41
Hf 0.0000 0.5000 0.0000  2 Ca 2.41
Hf 0.5000 0.0000 0.0000  2 Ca 2.41
N 0.5000 0.5000 0.5000  12 Hf 3.42

Summary:
Uncorrected formation energy: 2.98 eV per atom
Symmetry: Pm-3m, No. 221